[1]
Here is a relaxed Nd6Ge2PBr3 crystal from the Alexandria database. Energies are from GGA-PBE.

space group	C2/m, No. 12
energy	-5.2933	eV per atom
E_form (uncorrected)	-1271	meV/atom
size of the total moment	0.0	Bohr magnetons per cell

```
12
Lattice="7.358 -0.001 0.001 -3.678 6.373 0.001 -1.227 -2.124 7.351" Properties=species:S:1:pos:R:3 pbc="T T T"
Nd 3.657 2.166 5.818
Nd 2.477 4.288 1.534
Nd -1.203 2.084 1.534
Nd 0.048 4.249 5.818
Nd -0.023 -0.039 5.819
Nd 2.406 0.000 1.534
Ge 0.002 4.248 0.001
Ge 3.679 2.125 0.001
P 0.000 0.000 0.000
Br -2.433 4.238 3.676
Br 4.887 0.011 3.676
Br 1.227 2.125 3.676
```

---

[2]
Here is a relaxed Nd3GePbBr crystal from the Alexandria database. Energies are from GGA-PBE.

space group	P2_1/m, No. 11
energy	-4.9166	eV per atom
E_form (uncorrected)	-866	meV/atom
size of the total moment	0.0	Bohr magnetons per cell

```
12
Lattice="4.258 0.000 0.000 0.000 7.687 0.195 0.000 -2.776 11.403" Properties=species:S:1:pos:R:3 pbc="T T T"
Nd 1.065 4.145 5.874
Nd 3.194 -0.033 1.649
Nd 3.194 3.770 1.831
Nd 3.194 0.766 5.725
Nd 1.065 1.142 9.767
Nd 1.065 4.945 9.950
Ge 1.065 5.724 0.885
Ge 3.194 -0.813 10.713
Pb 3.194 3.061 8.032
Pb 1.065 1.850 3.566
Br 1.065 -0.826 7.241
Br 3.194 5.738 4.357
```

---

[3]
Here is a relaxed Nd6Ge2PtBr3 crystal from the Alexandria database. Energies are from GGA-PBE.

space group	C2/m, No. 12
energy	-5.2317	eV per atom
E_form (uncorrected)	-1157	meV/atom
size of the total moment	0.0	Bohr magnetons per cell

```
12
Lattice="-3.466 -1.114 2.165 -0.555 -7.532 -4.764 7.167 -1.850 6.379" Properties=species:S:1:pos:R:3 pbc="T T T"
Nd 3.206 -8.389 0.816
Nd -0.150 -5.662 0.989
Nd -0.059 -2.108 2.964
Nd -0.048 -1.696 -0.950
Nd 3.195 -8.801 4.730
Nd 3.297 -4.834 2.791
Ge 1.525 -7.163 2.899
Ge 1.622 -3.333 0.881
Pt -1.733 -0.557 1.082
Br -2.010 -4.323 -1.300
Br 1.760 -3.406 5.209
Br 1.387 -7.090 -1.429
```

---

Question: Which of these has the highest energy?
Answer: Nd3GePbBr

---

Question: Among the records above, which one has the lowest energy?
Answer: Nd6Ge2PBr3